No. 1
GGA-PBE TbV2Cl8, optimized geometry; V = 34.07 Å³ per atom; DOS(E_F) = 5.81 states/eV per cell
1.0
6.125 -4.855 0.000
6.125 4.855 0.000
-0.308 0.000 6.301
Tb V Cl
1 2 8
Direct
0.000 0.000 0.000
0.209 0.209 0.641
0.791 0.791 0.359
0.079 0.716 0.241
0.176 0.176 0.269
0.284 0.921 0.759
0.377 0.377 0.778
0.623 0.623 0.222
0.716 0.079 0.241
0.824 0.824 0.731
0.921 0.284 0.759

No. 2
GGA-PBE TbY3Cl, optimized geometry; V = 29.75 Å³ per atom; DOS(E_F) = 7.11 states/eV per cell
1.0
5.298 0.000 0.000
0.000 5.298 0.000
0.000 0.000 5.298
Tb Y Cl
1 3 1
Direct
0.000 0.000 0.000
0.000 0.500 0.500
0.500 0.000 0.500
0.500 0.500 0.000
0.500 0.500 0.500

No. 3
GGA-PBE Tb3YCl, optimized geometry; V = 29.83 Å³ per atom; DOS(E_F) = 5.55 states/eV per cell
1.0
5.303 0.000 0.000
0.000 5.303 0.000
0.000 0.000 5.303
Tb Y Cl
3 1 1
Direct
0.000 0.000 0.500
0.000 0.500 0.000
0.500 0.000 0.000
0.500 0.500 0.500
0.000 0.000 0.000

No. 4
GGA-PBE TbYCl3, optimized geometry; V = 27.85 Å³ per atom
1.0
7.991 -1.928 0.000
7.991 1.928 0.000
-5.283 0.000 9.039
Tb Y Cl
2 2 6
Direct
0.139 0.139 0.290
0.861 0.861 0.710
0.416 0.416 0.047
0.584 0.584 0.953
0.041 0.041 0.740
0.223 0.223 0.118
0.338 0.338 0.493
0.662 0.662 0.507
0.777 0.777 0.882
0.959 0.959 0.260

No. 5
GGA-PBE TbYCl, optimized geometry; V = 31.12 Å³ per atom; polymorph energy (0 for the lowest one) = 0.000 eV per atom; DOS(E_F) = 4.04 states/eV per cell
1.0
1.833 1.058 16.050
-1.833 1.058 16.050
0.000 -2.116 16.050
Tb Y Cl
2 2 2
Direct
0.136 0.136 0.136
0.864 0.864 0.864
0.410 0.410 0.410
0.590 0.590 0.590
0.294 0.294 0.294
0.706 0.706 0.706

No. 6
GGA-PBE TbYCl, optimized geometry; V = 27.45 Å³ per atom; polymorph energy (0 for the lowest one) = 0.058 eV per atom; DOS(E_F) = 3.64 states/eV per cell
1.0
3.694 0.000 0.000
-1.847 3.199 0.000
0.000 0.000 6.969
Tb Y Cl
1 1 1
Direct
0.000 0.000 0.000
0.333 0.667 0.617
0.667 0.333 0.312

No. 7
GGA-PBE Tb2ZnCl, optimized geometry; V = 24.10 Å³ per atom; polymorph energy (0 for the lowest one) = 0.000 eV per atom; DOS(E_F) = 2.67 states/eV per cell
1.0
1.991 1.149 7.021
-1.991 1.149 7.021
0.000 -2.299 7.021
Tb Zn Cl
2 1 1
Direct
0.249 0.249 0.249
0.751 0.751 0.751
0.500 0.500 0.500
0.000 0.000 0.000

No. 8
GGA-PBE TbZnCl6, optimized geometry; V = 26.19 Å³ per atom; DOS(E_F) = 13.64 states/eV per cell
1.0
6.407 0.000 0.000
3.203 5.552 0.000
0.025 3.650 5.890
Tb Zn Cl
1 1 6
Direct
0.000 0.000 0.000
0.500 0.000 0.500
0.102 0.159 0.263
0.266 0.156 0.743
0.418 0.479 0.257
0.582 0.521 0.743
0.734 0.844 0.257
0.898 0.841 0.737

No. 9
GGA-PBE TbZnCl5, optimized geometry; V = 31.45 Å³ per atom; DOS(E_F) = 0.00 states/eV per cell
1.0
4.242 -5.837 0.000
4.242 5.837 0.000
-4.145 0.000 8.891
Tb Zn Cl
2 2 10
Direct
0.000 0.000 0.000
0.000 0.000 0.500
0.300 0.700 0.750
0.700 0.300 0.250
0.044 0.660 0.852
0.090 0.910 0.250
0.237 0.398 0.561
0.340 0.956 0.648
0.398 0.237 0.061
0.602 0.763 0.939
0.660 0.044 0.352
0.763 0.602 0.439
0.910 0.090 0.750
0.956 0.340 0.148

No. 10
GGA-PBE TbZnCl, optimized geometry; V = 26.84 Å³ per atom; DOS(E_F) = 3.20 states/eV per cell
1.0
3.368 -1.945 0.000
3.368 1.945 0.000
-2.273 0.000 12.292
Tb Zn Cl
2 2 2
Direct
0.094 0.094 0.286
0.906 0.906 0.714
0.185 0.185 0.553
0.815 0.815 0.447
0.382 0.382 0.150
0.618 0.618 0.850

No. 11
GGA-PBE Tb2ZnCl, optimized geometry; V = 24.02 Å³ per atom; polymorph energy (0 for the lowest one) = 0.013 eV per atom; DOS(E_F) = 3.22 states/eV per cell
1.0
1.799 1.039 8.568
-1.799 1.039 8.568
0.000 -2.077 8.568
Tb Zn Cl
2 1 1
Direct
0.000 0.000 0.000
0.168 0.168 0.168
0.584 0.584 0.584
0.416 0.416 0.416

No. 12
GGA-PBE Tb3ZnCl3, optimized geometry; V = 25.65 Å³ per atom; DOS(E_F) = 2.35 states/eV per cell
1.0
5.641 0.000 0.000
0.000 5.641 0.000
0.000 0.000 5.641
Tb Zn Cl
3 1 3
Direct
0.000 0.000 0.500
0.000 0.500 0.000
0.500 0.000 0.000
0.000 0.000 0.000
0.000 0.500 0.500
0.500 0.000 0.500
0.500 0.500 0.000

Number 1: E_form (uncorrected) -1.42 eV/atom. Number 2: E_form (uncorrected) -0.45 eV/atom. Number 3: E_form (uncorrected) -0.47 eV/atom. Number 4: E_form (uncorrected) -1.85 eV/atom. Number 5: E_form (uncorrected) -0.97 eV/atom. Number 6: E_form (uncorrected) -0.91 eV/atom. Number 7: E_form (uncorrected) -0.78 eV/atom. Number 8: E_form (uncorrected) -1.35 eV/atom. Number 9: E_form (uncorrected) -1.77 eV/atom. Number 10: E_form (uncorrected) -1.03 eV/atom. Number 11: E_form (uncorrected) -0.77 eV/atom. Number 12: E_form (uncorrected) -1.39 eV/atom.